Entry from Alexandria via LeMat-Bulk: a geometry-optimized Ac6NiAu2 structure (PBE-GGA).

For the volume, the calculation gives 647.6 Å³ per cell. As for the formation energy: -0.414 eV per atom. The space group is No. 14. As for the total energy: -0.3325 Ry/atom.

Geometry as POSCAR:
```
Ac6NiAu2
1.0
-5.642 -3.296 -3.277
4.693 -1.989 -6.080
3.226 -9.202 5.501
Ac Au Ni
12 4 2
direct
0.331 0.817 0.068
0.669 0.183 0.932
0.831 0.683 0.568
0.169 0.317 0.432
0.148 0.038 0.753
0.815 0.692 0.936
0.185 0.308 0.064
0.852 0.962 0.247
0.685 0.192 0.564
0.315 0.808 0.436
0.648 0.462 0.253
0.352 0.538 0.747
0.941 0.392 0.770
0.441 0.108 0.270
0.059 0.608 0.230
0.559 0.892 0.730
0.000 0.000 0.500
0.500 0.500 0.000
```

Entry from Alexandria via LeMat-Bulk: a geometry-optimized SrIr3Se structure (PBE-GGA).

For the volume, the calculation gives 127.5 Å³ per cell. The space group is No. 221. As for the total energy: -0.2593 Ry/atom. The uncorrected formation energy is 2.821 eV/atom.

Geometry as POSCAR:
```
SrIr3Se
1.0
5.033 0.000 0.000
0.000 5.033 0.000
0.000 0.000 5.033
Ir Se Sr
3 1 1
direct
0.000 0.500 0.000
0.000 0.000 0.500
0.500 0.000 0.000
0.500 0.500 0.500
0.000 0.000 0.000
```

Entry from Alexandria via LeMat-Bulk: a geometry-optimized DyNiGe2 structure (PBE-GGA).

For the volume, the calculation gives 284.8 Å³ per cell. As for the formation energy: -0.708 eV per atom. The space group is No. 71. As for the total energy: -0.4125 Ry/atom.

Geometry as POSCAR:
```
DyNiGe2
1.0
4.177 0.000 0.000
0.000 8.530 0.000
-2.088 -4.265 7.994
Ni Dy Ge
4 4 8
direct
0.352 0.103 0.704
0.352 0.601 0.704
0.648 0.897 0.296
0.648 0.399 0.296
0.000 0.740 0.000
0.000 0.260 0.000
0.795 0.295 0.591
0.205 0.705 0.409
0.580 0.080 0.160
0.420 0.920 0.840
0.577 0.577 0.154
0.195 0.038 0.391
0.805 0.962 0.609
0.195 0.353 0.391
0.423 0.423 0.846
0.805 0.647 0.609
```

Entry from Alexandria via LeMat-Bulk: a geometry-optimized SrTl2Ag2Cl7 structure (PBE-GGA).

For the volume, the calculation gives 346.8 Å³ per cell. The space group is No. 12. As for the total energy: -0.2312 Ry/atom. The uncorrected formation energy is -1.059 eV/atom.

Geometry as POSCAR:
```
SrTl2Ag2Cl7
1.0
5.187 0.062 -0.007
0.068 5.187 -0.007
2.523 2.520 12.885
Tl Ag Sr Cl
2 2 1 7
direct
0.232 0.232 0.637
0.768 0.768 0.363
0.593 0.593 0.801
0.407 0.407 0.199
0.000 0.000 0.000
0.665 0.665 0.601
0.430 0.926 0.163
0.074 0.570 0.837
0.500 0.500 0.000
0.570 0.074 0.837
0.926 0.430 0.163
0.335 0.335 0.399
```

Entry from Alexandria via LeMat-Bulk: a geometry-optimized Li2EuEr structure (PBE-GGA).

For the volume, the calculation gives 112.6 Å³ per cell. As for the formation energy: 0.164 eV per atom. The space group is No. 225. As for the total energy: -0.3309 Ry/atom.

Geometry as POSCAR:
```
Li2EuEr
1.0
-1.384 2.966 4.321
-3.592 -1.927 3.573
1.633 -1.494 4.948
Eu Li Er
1 2 1
direct
0.500 0.500 0.500
0.250 0.250 0.250
0.750 0.750 0.750
0.000 0.000 0.000
```

Entry from Alexandria via LeMat-Bulk: a geometry-optimized La3DyHo2Se6 structure (PBE-GGA).

For the volume, the calculation gives 311.1 Å³ per cell. The space group is No. 12. As for the total energy: -0.4407 Ry/atom. The uncorrected formation energy is -1.876 eV/atom.

Geometry as POSCAR:
```
La3DyHo2Se6
1.0
7.183 -0.011 -0.002
-3.600 6.216 -0.002
-1.198 -2.074 6.974
Ho Se La Dy
2 6 3 1
direct
0.333 0.667 0.000
0.667 0.333 0.000
0.258 0.258 0.771
0.742 0.742 0.229
0.411 0.076 0.230
0.076 0.411 0.230
0.589 0.924 0.770
0.924 0.589 0.770
0.166 0.834 0.500
0.500 0.500 0.500
0.834 0.166 0.500
0.000 0.000 0.000
```

Entry from Alexandria via LeMat-Bulk: a geometry-optimized Sm2Mn2Co15 structure (PBE-GGA).

For the volume, the calculation gives 248.6 Å³ per cell. As for the formation energy: -0.066 eV per atom. The space group is No. 166. As for the total energy: -0.5247 Ry/atom.

Geometry as POSCAR:
```
Sm2Mn2Co15
1.0
-0.602 -6.122 1.501
4.103 -0.021 4.823
-4.249 0.753 4.634
Co Mn Sm
15 2 2
direct
0.000 0.714 0.286
0.714 0.000 0.286
0.000 0.500 0.000
0.500 0.000 0.000
0.347 0.848 0.347
0.848 0.347 0.347
0.000 0.286 0.714
0.286 0.714 0.000
0.286 0.000 0.714
0.653 0.653 0.152
0.653 0.152 0.653
0.000 0.000 0.500
0.714 0.286 0.000
0.347 0.347 0.848
0.152 0.653 0.653
0.104 0.104 0.104
0.896 0.896 0.896
0.348 0.348 0.348
0.652 0.652 0.652
```